First-principles (GGA-PBE) data for a relaxed structure of Th2Ni2Pd, as listed in OQMD via LeMat-Bulk.

Geometry as CIF:
```
data_Th2Ni2Pd
_space_group_name_H-M_alt 'P 4/m b m'
_space_group_IT_number 127
_space_group_name_Hall '-P 4 2ab'
_cell_length_a 7.334
_cell_length_b 7.334
_cell_length_c 3.728
_cell_angle_alpha 90.00
_cell_angle_beta 90.00
_cell_angle_gamma 90.00
loop_
_atom_site_label
_atom_site_type_symbol
_atom_site_fract_x
_atom_site_fract_y
_atom_site_fract_z
Th1 Th 0.178 0.322 0.000
Ni1 Ni 0.122 0.622 0.500
Pd1 Pd 0.000 0.000 0.500
```

Crystal system: tetragonal
Energy of formation from the pure elements: -0.621 eV/atom

First-principles (GGA-PBE) data for a relaxed structure of Er3Al3CuAu2, as listed in OQMD via LeMat-Bulk.

Geometry as CIF:
```
data_Er3Al3CuAu2
_space_group_name_H-M_alt 'P -6 2 m'
_space_group_IT_number 189
_space_group_name_Hall 'P -6 -2'
_cell_length_a 7.2064
_cell_length_b 7.2064
_cell_length_c 4.0100
_cell_angle_alpha 90.00
_cell_angle_beta 90.00
_cell_angle_gamma 120.00
loop_
_atom_site_label
_atom_site_type_symbol
_atom_site_fract_x
_atom_site_fract_y
_atom_site_fract_z
Er1 Er 0.0000 0.4067 0.0000
Al1 Al 0.0000 0.7690 0.5000
Cu1 Cu 0.0000 0.0000 0.0000
Au1 Au 0.3333 0.6667 0.5000
```

Crystal system: hexagonal
DFT total energy: -41.5 eV/cell

First-principles (GGA-PBE) data for a relaxed structure of Na4OsO4, as listed in OQMD via LeMat-Bulk.

Geometry as CIF:
```
data_Na4OsO4
_space_group_name_H-M_alt 'C 1 2/m 1'
_space_group_IT_number 12
_space_group_name_Hall '-C 2y'
_cell_length_a 8.159
_cell_length_b 5.803
_cell_length_c 5.531
_cell_angle_alpha 90.00
_cell_angle_beta 104.20
_cell_angle_gamma 90.00
loop_
_atom_site_label
_atom_site_type_symbol
_atom_site_fract_x
_atom_site_fract_y
_atom_site_fract_z
Na1 Na 0.120 0.000 0.363
Na2 Na 0.196 0.500 0.078
Os1 Os 0.000 0.500 0.500
O1 O 0.116 0.269 0.721
```

Energy relative to the lowest polymorph listed for this composition: 0 meV per atom
Crystal system: monoclinic

Theoretical density, respectively: 11.39, 9.58, 4.53 g/cm3.